{"formula": "MgTl2Si2", "functional": "GGA-PBE", "state": "relaxed", "e_form_raw_ev_per_fu": 1.2, "volume_a3_per_atom": 23.4, "lattice_angstrom": [[-1.7465, 1.7465, 9.5744], [1.7465, -1.7465, 9.5744], [1.7465, 1.7465, -9.5744]], "species": ["Mg", "Tl", "Tl", "Si", "Si"], "frac_coords": [[0.0000, 0.0000, 0.0000], [0.3895, 0.3895, 0.0000], [0.6105, 0.6105, 0.0000], [0.2500, 0.7500, 0.5000], [0.7500, 0.2500, 0.5000]]}